The following is a DFT calculation (GGA-PBE) of Rb2ScHCl6 after structural relaxation.

a b c (Å): 8.0049 8.0049 7.2604
angles (deg): 56.55 56.55 90.00
Sites, in units of the cell vectors:
Sc 0.0000 0.0000 0.0000
H 0.5000 0.5000 0.0000
Rb 0.7500 0.2500 0.5000
Rb 0.2500 0.7500 0.5000
Cl 0.3241 0.3241 0.3517
Cl 0.6759 0.6759 0.6483
Cl 0.2144 0.2144 0.0000
Cl 0.7856 0.7856 0.0000
Cl 0.7856 0.2144 0.0000
Cl 0.2144 0.7856 0.0000

## Properties
ρ = 2.45 g/cm3
total magnetic moment = 0.00 μB/f.u.
energy = -0.145 Ha/atom
Fermi-level density of states = 0.000 states/eV/atom

=====

The following is a DFT calculation (GGA-PBE) of Rb2HSeCl6 after structural relaxation.

a b c (Å): 7.9175 7.9175 7.2124
angles (deg): 56.71 56.71 90.00
Sites, in units of the cell vectors:
H 0.5000 0.5000 0.0000
Se 0.0000 0.0000 0.0000
Rb 0.7500 0.2500 0.5000
Rb 0.2500 0.7500 0.5000
Cl 0.3284 0.3284 0.3432
Cl 0.6716 0.6716 0.6568
Cl 0.2154 0.2154 0.0000
Cl 0.7846 0.7846 0.0000
Cl 0.7846 0.2154 0.0000
Cl 0.2154 0.7846 0.0000

## Properties
ρ = 2.70 g/cm3
total magnetic moment = 0.00 μB/f.u.
energy = -0.109 Ha/atom
Fermi-level density of states = 0.277 states/eV/atom

=====

The following is a DFT calculation (GGA-PBE) of RbH2SeCl after structural relaxation.

a b c (Å): 4.0519 7.7017 4.0519
angles (deg): 90.00 90.00 90.00
Sites, in units of the cell vectors:
H 0.0000 0.0000 0.5000
H 0.5000 0.0000 0.0000
Se 0.0000 0.0000 0.0000
Rb 0.0000 0.5000 0.0000
Cl 0.5000 0.5000 0.5000

## Properties
ρ = 2.65 g/cm3
total magnetic moment = 0.03 μB/f.u.
energy = -0.104 Ha/atom
Fermi-level density of states = 0.609 states/eV/atom

=====

The following is a DFT calculation (GGA-PBE) of Rb2SiHCl6 after structural relaxation.

a b c (Å): 7.4982 7.4982 6.9847
angles (deg): 57.54 57.54 90.00
Site moments in Bohr magnetons follow the coordinates.
Sites, in units of the cell vectors:
H 0.5000 0.5000 0.0000  0.35
Si 0.0000 0.0000 0.0000  0.04
Rb 0.7500 0.2500 0.5000  0.00
Rb 0.2500 0.7500 0.5000  0.00
Cl 0.2428 0.2428 0.5144  0.01
Cl 0.7572 0.7572 0.4856  0.01
Cl 0.2133 0.2133 0.0000  0.01
Cl 0.7867 0.7867 0.0000  0.01
Cl 0.7867 0.2133 0.0000  0.01
Cl 0.2133 0.7867 0.0000  0.01

## Properties
ρ = 2.68 g/cm3
total magnetic moment = 1.00 μB/f.u.
energy = -0.121 Ha/atom
Fermi-level density of states = 0.000 states/eV/atom